This record from Alexandria describes a relaxed structure of ZrPaMnRu. The functional is PBE.

Fermi-level density of states	12.8	states/eV/cell
volume	18.23	Å³ per atom
energy relative to the elements	-0.18	eV/atom
spin magnetization	0.00	μB per cell

a b c (Å): 6.632 6.632 6.632
angles (deg): 90.00 90.00 90.00
Space group F-43m (No. 216)
Inequivalent atoms, fractional coordinates:
Zr  0.000  0.000  0.000 (multiplicity 4)
Pa  0.000  0.000  0.500 (multiplicity 4)
Mn  0.250  0.250  0.750 (multiplicity 4)
Ru  0.250  0.250  0.250 (multiplicity 4)